Compound: BaCrRu
Source: Alexandria
Functional: SCAN
Structure: PBEsol geometry

E_form in eV per atom: 0.940
Magnetization in μB per formula unit: 3.99
Space-group type: No. 216

a b c (Å): 4.674 4.674 4.674
angles (deg): 60.00 60.00 60.00
Last column: magnetic moment on the atom in μB.
Atoms (fractional coordinates):
Ba: 0.000 0.000 0.000  0.06
Cr: 0.500 0.500 0.500  3.87
Ru: 0.250 0.250 0.250  -0.64

---

Compound: Ba4UCr2S9
Source: Alexandria
Functional: SCAN
Structure: PBEsol geometry

Magnetization in μB per formula unit: 8.02
ΔE_f (raw) in eV per atom: -1.8744
Space-group type: No. 150

a b c (Å): 9.345 11.866 11.866
angles (deg): 120.00 90.00 90.00
Last column: magnetic moment on the atom in μB.
Atoms (fractional coordinates):
Cr: 0.401 0.333 0.667  2.89
S: 0.691 0.016 0.844  -0.03
S: 0.691 0.156 0.172  -0.03
Ba: 0.500 0.625 0.000  0.00
Cr: 0.159 0.000 0.000  2.84
S: 0.000 0.154 0.000  -0.02
S: 0.309 0.844 0.016  -0.03
S: 0.066 0.681 0.502  -0.03
S: 0.448 0.688 0.507  -0.03
Cr: 0.082 0.333 0.667  2.85
S: 0.240 0.353 0.519  -0.02
Cr: 0.918 0.667 0.333  2.85
S: 0.760 0.647 0.166  -0.02
Ba: 0.000 0.318 0.318  0.01
Ba: 0.500 0.375 0.375  0.00
Ba: 0.750 0.704 0.660  0.00
S: 0.000 0.846 0.846  -0.02
S: 0.000 0.000 0.154  -0.02
S: 0.934 0.502 0.681  -0.03
U: 0.255 0.667 0.333  1.97
U: 0.500 0.000 0.000  1.96
Ba: 0.500 0.000 0.625  0.00
Cr: 0.841 0.000 0.000  2.84
S: 0.066 0.498 0.179  -0.03
Ba: 0.250 0.660 0.704  0.00
Ba: 0.250 0.296 0.955  0.00
S: 0.691 0.828 0.984  -0.03
S: 0.448 0.819 0.312  -0.03
S: 0.552 0.181 0.493  -0.03
Ba: 0.000 0.000 0.682  0.01
Ba: 0.750 0.340 0.045  0.00
S: 0.448 0.493 0.181  -0.03
Ba: 0.250 0.045 0.340  0.00
S: 0.934 0.319 0.821  -0.03
S: 0.552 0.312 0.819  -0.03
S: 0.760 0.834 0.481  -0.02
Cr: 0.599 0.667 0.333  2.89
S: 0.760 0.519 0.353  -0.02
S: 0.066 0.821 0.319  -0.03
S: 0.240 0.481 0.834  -0.02
S: 0.934 0.179 0.498  -0.03
Ba: 0.000 0.682 0.000  0.01
Ba: 0.750 0.955 0.296  0.00
S: 0.309 0.984 0.828  -0.03
S: 0.552 0.507 0.688  -0.03
S: 0.240 0.166 0.647  -0.02
U: 0.745 0.333 0.667  1.97
S: 0.309 0.172 0.156  -0.03

---

Compound: Ba2YCrS
Source: Alexandria
Functional: SCAN
Structure: PBEsol geometry

Magnetization in μB per formula unit: 5.79
ΔE_f (raw) in eV per atom: -0.4644
Space-group type: No. 123

a b c (Å): 5.140 6.037 6.037
angles (deg): 90.00 90.00 90.00
Last column: magnetic moment on the atom in μB.
Atoms (fractional coordinates):
Y: 0.500 0.000 0.000  0.01
S: 0.000 0.000 0.000  0.00
Ba: 0.000 0.500 0.000  0.06
Cr: 0.500 0.500 0.500  4.24
Ba: 0.000 0.000 0.500  0.06

---

Compound: BaCrSb
Source: Alexandria
Functional: SCAN
Structure: PBEsol geometry

Magnetization in μB per formula unit: 5.00
ΔE_f (raw) in eV per atom: -0.4137
Space-group type: No. 216

a b c (Å): 5.071 5.071 5.071
angles (deg): 60.00 60.00 60.00
Last column: magnetic moment on the atom in μB.
Atoms (fractional coordinates):
Cr: 0.250 0.250 0.250  4.22
Sb: 0.000 0.000 0.000  -0.15
Ba: 0.500 0.500 0.500  0.22

---

Compound: BaCrSbTe2
Source: Alexandria
Functional: SCAN
Structure: PBEsol geometry

Magnetization in μB per formula unit: 2.80
ΔE_f (raw) in eV per atom: 0.8235
Space-group type: No. 123

a b c (Å): 6.107 6.255 6.255
angles (deg): 90.00 90.00 90.00
Last column: magnetic moment on the atom in μB.
Atoms (fractional coordinates):
Sb: 0.500 0.000 0.000  -0.39
Te: 0.000 0.000 0.500  -0.37
Ba: 0.000 0.000 0.000  -0.01
Te: 0.000 0.500 0.000  -0.37
Cr: 0.500 0.500 0.500  4.43

---

Compound: BaScCr
Source: Alexandria
Functional: SCAN
Structure: PBEsol geometry

E_form in eV per atom: 1.255
Energy above the most stable polymorph in this dataset in meV per atom: 606
Magnetization in μB per formula unit: 3.40
Space-group type: No. 216

a b c (Å): 5.013 5.013 5.013
angles (deg): 60.00 60.00 60.00
Last column: magnetic moment on the atom in μB.
Atoms (fractional coordinates):
Cr: 0.000 0.000 0.000  3.98
Sc: 0.500 0.500 0.500  -0.63
Ba: 0.250 0.250 0.250  -0.02

---

Compound: BaScCr
Source: Alexandria
Functional: SCAN
Structure: PBEsol geometry

E_form in eV per atom: 0.649
Energy above the most stable polymorph in this dataset in meV per atom: 0
Magnetization in μB per formula unit: 2.98
Space-group type: No. 156

a b c (Å): 3.438 3.438 7.763
angles (deg): 90.00 90.00 120.00
Last column: magnetic moment on the atom in μB.
Atoms (fractional coordinates):
Sc: 0.667 0.333 0.389  -0.34
Ba: 0.000 0.000 0.972  -0.13
Cr: 0.333 0.667 0.640  3.59

---

Compound: Ba2ScCrW
Source: Alexandria
Functional: SCAN
Structure: PBEsol geometry

E_form in eV per atom: 1.663
Magnetization in μB per formula unit: 6.81
Space-group type: No. 123

a b c (Å): 4.815 5.714 5.714
angles (deg): 90.00 90.00 90.00
Last column: magnetic moment on the atom in μB.
Atoms (fractional coordinates):
Ba: 0.000 0.000 0.500  0.04
Cr: 0.000 0.000 0.000  3.09
W: 0.500 0.500 0.500  2.97
Ba: 0.000 0.500 0.000  0.04
Sc: 0.500 0.000 0.000  -0.31